Crystalline LiLa3Nd3Se8 at its relaxed geometry. Source: Alexandria, functional PBE.

The calculation puts the density at 5.73 g/cm3. The formation energy (no corrections) is -1871 meV per atom. The value obtained for the raw total energy is -260.832 eV for the cell shown.

It has space group R-3m (No. 166, hexagonal axes), with a = 8.4679 Å, b = 8.4679 Å, c = 20.8313 Å, α = 90.00°, β = 90.00° and γ = 120.00°. The inequivalent atoms are Li at (0.0000, 0.0000, 0.0000), La at (0.0000, 0.5000, 0.5000), Nd at (0.0000, 0.5000, 0.0000), Se at (0.0000, 0.0000, 0.2518) and Se at (0.0069, 0.5034, 0.7469).

Crystalline Sc2ZnSe at its relaxed geometry. Source: Alexandria, functional PBE.

The calculation puts the density at 4.56 g/cm3. The formation energy (no corrections) is -573 meV per atom. The value obtained for the raw total energy is -78.857 eV for the cell shown.

It has space group I-42d (No. 122), with a = 7.3026 Å, b = 7.3026 Å, c = 6.3977 Å, α = 90.00°, β = 90.00° and γ = 90.00°. The inequivalent atoms are Sc at (0.2405, 0.7500, 0.1250), Zn at (0.0000, 0.0000, 0.5000) and Se at (0.0000, 0.0000, 0.0000).

Crystalline PaGaSnO at its relaxed geometry. Source: Alexandria, functional PBE.

The calculation puts the density at 8.95 g/cm3. The formation energy (no corrections) is -1197 meV per atom. The value obtained for the raw total energy is -52.541 eV for the cell shown.

It has space group P4/nmm (No. 129, origin choice 2), with a = 4.0900 Å, b = 4.0900 Å, c = 9.6576 Å, α = 90.00°, β = 90.00° and γ = 90.00°. The inequivalent atoms are Pa at (0.2500, 0.2500, 0.1258), Ga at (0.2500, 0.2500, 0.7370), Sn at (0.2500, 0.7500, 0.5000) and O at (0.2500, 0.7500, 0.0000).

Crystalline VCu2Ag at its relaxed geometry. Source: Alexandria, functional PBE.

The calculation puts the density at 8.54 g/cm3. The value obtained for the raw total energy is -19.500 eV for the cell shown.

It has space group P4/mmm (No. 123), with a = 2.6674 Å, b = 2.6674 Å, c = 7.8139 Å, α = 90.00°, β = 90.00° and γ = 90.00°. The inequivalent atoms are V at (0.0000, 0.0000, 0.0000), Cu at (0.5000, 0.5000, 0.2370) and Ag at (0.0000, 0.0000, 0.5000).

Crystalline NaEu2Au at its relaxed geometry. Source: Alexandria, functional PBE.

The calculation puts the density at 6.57 g/cm3. The value obtained for the raw total energy is -26.688 eV for the cell shown.

It has space group P4/mmm (No. 123), with a = 3.8060 Å, b = 3.8060 Å, c = 9.1371 Å, α = 90.00°, β = 90.00° and γ = 90.00°. The inequivalent atoms are Na at (0.0000, 0.0000, 0.0000), Eu at (0.5000, 0.5000, 0.3067) and Au at (0.0000, 0.0000, 0.5000).

Crystalline Li5ZnCoN2 at its relaxed geometry. Source: Alexandria, functional PBE.

The calculation puts the density at 2.50 g/cm3. The formation energy (no corrections) is -218 meV per atom. The value obtained for the raw total energy is -36.561 eV for the cell shown.

It has space group P4/mmm (No. 123), with a = 4.0719 Å, b = 4.0719 Å, c = 7.4841 Å, α = 90.00°, β = 90.00° and γ = 90.00°. The inequivalent atoms are Li at (0.0000, 0.0000, 0.0000), Li at (0.0000, 0.5000, 0.2867), Zn at (0.5000, 0.5000, 0.0000), Co at (0.0000, 0.0000, 0.5000) and N at (0.0000, 0.0000, 0.2625).

Crystalline ZrTl2Cu at its relaxed geometry. Source: Alexandria, functional PBE.

The calculation puts the density at 10.33 g/cm3. The value obtained for the raw total energy is -16.905 eV for the cell shown.

It has space group P4mm (No. 99), with a = 3.3536 Å, b = 3.3536 Å, c = 8.0558 Å, α = 90.00°, β = 90.00° and γ = 90.00°. The inequivalent atoms are Zr at (0.0000, 0.0000, 0.0000), Tl at (0.0000, 0.0000, 0.4130), Tl at (0.5000, 0.5000, 0.7263) and Cu at (0.5000, 0.5000, 0.1827).

Crystalline Ba2Si3GePt12 at its relaxed geometry. Source: Alexandria, functional PBE.

The calculation puts the density at 12.14 g/cm3. The formation energy (no corrections) is -433 meV per atom. The value obtained for the raw total energy is -315.060 eV for the cell shown.

It has space group R-3m (No. 166, hexagonal axes), with a = 8.1953 Å, b = 8.1953 Å, c = 19.5561 Å, α = 90.00°, β = 90.00° and γ = 120.00°. The inequivalent atoms are Ba at (0.0000, 0.0000, 0.1188), Si at (0.0000, 0.5000, 0.0000), Ge at (0.0000, 0.0000, 0.5000), Pt at (0.0176, 0.5088, 0.1192) and Pt at (0.0349, 0.5175, 0.3674).

Crystalline KLiSc at its relaxed geometry. Source: Alexandria, functional PBE.

The calculation puts the density at 1.30 g/cm3. The value obtained for the raw total energy is -27.058 eV for the cell shown.

It has space group F-43m (No. 216), with a = 7.7555 Å, b = 7.7555 Å, c = 7.7555 Å, α = 90.00°, β = 90.00° and γ = 90.00°. The inequivalent atoms are K at (0.0000, 0.0000, 0.0000), Li at (0.2500, 0.2500, 0.7500) and Sc at (0.0000, 0.0000, 0.5000).

Crystalline SnBiO4 at its relaxed geometry. Source: Alexandria, functional PBE.

The calculation puts the density at 8.32 g/cm3. The formation energy (no corrections) is -1214 meV per atom. The value obtained for the raw total energy is -70.000 eV for the cell shown.

It has space group P2_1/c (No. 14), with a = 5.3684 Å, b = 5.3818 Å, c = 5.4148 Å, α = 90.00°, β = 92.15° and γ = 90.00°. The inequivalent atoms are Sn at (0.0000, 0.0000, 0.0000), Bi at (0.5000, 0.0000, 0.5000), O at (0.1555, 0.1779, 0.6896) and O at (0.3303, 0.6530, 0.6418).

Crystalline Sc3SbC at its relaxed geometry. Source: Alexandria, functional PBE.

The calculation puts the density at 2.96 g/cm3. The formation energy (no corrections) is 301 meV per atom. The value obtained for the raw total energy is -92.504 eV for the cell shown.

It has space group R3m (No. 160, hexagonal axes), with a = 8.1699 Å, b = 8.1699 Å, c = 7.8270 Å, α = 90.00°, β = 90.00° and γ = 120.00°. The inequivalent atoms are Sc at (0.2061, 0.4121, 0.0000), Sb at (0.0000, 0.0000, 0.0225) and C at (0.0000, 0.0000, 0.4580).

Crystalline TlCd2Br at its relaxed geometry. Source: Alexandria, functional PBE.

The calculation puts the density at 7.33 g/cm3. The formation energy (no corrections) is -157 meV per atom. The value obtained for the raw total energy is -12.997 eV for the cell shown.

It has space group Cmmm (No. 65), with a = 4.6960 Å, b = 5.8672 Å, c = 8.3749 Å, α = 90.00°, β = 90.00° and γ = 90.00°. The inequivalent atoms are Tl at (0.0000, 0.0000, 0.0000), Cd at (0.0000, 0.5000, 0.2573) and Br at (0.0000, 0.0000, 0.5000).

Crystalline KSrCdS2 at its relaxed geometry. Source: Alexandria, functional PBE.

The calculation puts the density at 3.35 g/cm3. The formation energy (no corrections) is -934 meV per atom. The value obtained for the raw total energy is -33.243 eV for the cell shown.

It has space group P2/c (No. 13), with a = 7.4334 Å, b = 5.0581 Å, c = 8.1290 Å, α = 90.00°, β = 100.65° and γ = 90.00°. The inequivalent atoms are K at (0.0000, 0.0136, 0.2500), Sr at (0.5000, 0.3037, 0.7500), Cd at (0.0000, 0.5000, 0.0000) and S at (0.3026, 0.2183, 0.0428).